The following is a DFT calculation (PBE) of crystalline Ac2SmBiO6 at its relaxed geometry.

```
Ac2SmBiO6
1.0
5.837 0.000 0.000
0.000 5.741 0.000
0.000 0.000 5.741
O Ac Sm Bi
6 2 1 1
direct
0.167 0.000 0.000
0.744 0.252 0.748
0.184 0.500 0.500
0.744 0.252 0.252
0.744 0.748 0.252
0.744 0.748 0.748
0.993 0.500 0.000
0.993 0.000 0.500
0.567 0.500 0.500
0.566 0.000 0.000
```

Output
E_form (uncorrected)	-2.67	eV/atom
D(E_F)	0.0000	states/eV per atom
space-group type	P4mm (99)

---

The following is a DFT calculation (PBE) of crystalline KSr2CaAu at its relaxed geometry.

```
KSr2CaAu
1.0
6.162 0.000 0.000
0.000 6.162 0.000
0.000 0.000 6.356
Ca Sr K Au
1 2 1 1
direct
0.500 0.500 0.500
0.000 0.500 0.000
0.500 0.000 0.000
0.000 0.000 0.500
0.000 0.000 0.000
```

Output
formation energy	-0.162	eV per atom
distance to the lowest polymorph of the same formula	146	meV/atom
D(E_F)	0.8456	states/eV per atom
space-group type	P4/mmm (123)

---

The following is a DFT calculation (PBE) of crystalline InRh2I at its relaxed geometry.

```
InRh2I
1.0
4.530 -0.006 1.323
2.059 4.015 1.384
1.134 0.628 4.538
Rh I In
2 1 1
direct
0.250 0.250 0.250
0.750 0.750 0.750
0.500 0.500 0.500
0.000 0.000 0.000
```

Output
E_form (uncorrected)	0.30	eV/atom
distance to the lowest polymorph of the same formula	0	meV/atom
D(E_F)	1.1035	states/eV per atom
space-group type	Fm-3m (225)

---

The following is a DFT calculation (PBE) of crystalline HgSbIr2 at its relaxed geometry.

```
HgSbIr2
1.0
5.392 -0.010 0.000
2.509 4.773 0.000
-3.950 -2.382 2.792
Sb Ir Hg
1 2 1
direct
0.500 0.500 0.000
0.000 0.000 0.000
0.250 0.750 0.500
0.750 0.250 0.500
```

Output
E_form (uncorrected)	0.53	eV/atom
distance to the lowest polymorph of the same formula	203	meV/atom
D(E_F)	1.3858	states/eV per atom
space-group type	I-4m2 (119)

---

- Which value of D(E_F) does entry 1 give?
  0.0000 states/eV per atom